{"formula": "Fe2HgPt", "functional": "GGA-PBE", "state": "optimized geometry", "formation_energy_kj_per_mol_atoms": 19.8, "spacegroup": "F-43m, No. 216", "crystal_system": "cubic", "total_energy_ev_per_atom": -5.6117, "cell": [[0.000, 3.131, 3.131], [3.131, 0.000, 3.131], [3.131, 3.131, 0.000]], "species": ["Fe", "Fe", "Hg", "Pt"], "frac_coords": [[0.000, 0.000, 0.000], [0.250, 0.250, 0.250], [0.500, 0.500, 0.500], [0.750, 0.750, 0.750]]}

---

{"formula": "HfNbTe2N", "functional": "GGA-PBE", "state": "optimized geometry", "e_above_lowest_polymorph_mev_per_atom": 150, "spacegroup": "P4/mmm, No. 123", "crystal_system": "tetragonal", "formation_energy_uncorrected_kj_per_mol_atoms": 32.0, "total_energy_ev_per_atom": -6.5947, "cell": [[5.652, 0.000, 0.000], [0.000, 5.652, 0.000], [0.000, 0.000, 3.934]], "species": ["Hf", "Nb", "Te", "Te", "N"], "frac_coords": [[0.000, 0.000, 0.000], [0.500, 0.500, 0.500], [0.000, 0.500, 0.000], [0.500, 0.000, 0.000], [0.000, 0.000, 0.500]]}